# 1
# NdMnTl2Se4, relaxed, DFT PBE
data_NdMnTl2Se4
_cell_length_a 8.420
_cell_length_b 8.694
_cell_length_c 12.085
_cell_angle_alpha 90.00
_cell_angle_beta 90.00
_cell_angle_gamma 90.00
_symmetry_space_group_name_H-M 'I m m a'
_symmetry_Int_Tables_number 74
_symmetry_space_group_name_Hall '-I 2b 2'
loop_
_atom_site_label
_atom_site_fract_x
_atom_site_fract_y
_atom_site_fract_z
Nd1 0.000 0.000 0.000
Mn1 0.250 0.250 0.250
Tl1 0.000 0.000 0.500
Tl2 0.250 0.250 0.750
Se1 0.000 0.047 0.244
Se2 0.234 0.250 0.023
# - Uncorrected formation energy: -77.1 kJ/mol of atoms
# - D(E_F): 16.04 states/eV/cell

---

# 2
# NdMn2Tl3Se6, relaxed, DFT PBE
data_NdMn2Tl3Se6
_cell_length_a 6.933
_cell_length_b 11.863
_cell_length_c 8.033
_cell_angle_alpha 90.00
_cell_angle_beta 106.58
_cell_angle_gamma 90.00
_symmetry_space_group_name_H-M 'C 1 2/m 1'
_symmetry_Int_Tables_number 12
loop_
_symmetry_equiv_pos_as_xyz
'x,y,z'
'-x,-y,-z'
'-x,y,-z'
'x,-y,z'
'x+1/2,y+1/2,z'
'-x+1/2,-y+1/2,-z'
'-x+1/2,y+1/2,-z'
'x+1/2,-y+1/2,z'
loop_
_atom_site_label
_atom_site_fract_x
_atom_site_fract_y
_atom_site_fract_z
Nd1 0.000 0.000 0.000
Mn1 0.000 0.332 0.000
Tl1 0.000 0.155 0.500
Tl2 0.000 0.500 0.500
Se1 0.189 0.500 0.186
Se2 0.249 0.186 0.197
# - Uncorrected formation energy: -67.6 kJ/mol of atoms
# - D(E_F): 8.21 states/eV/cell

---

# 3
# Nd3MnTl4Se8, relaxed, DFT PBE
data_Nd3MnTl4Se8
_cell_length_a 8.4578
_cell_length_b 8.4578
_cell_length_c 22.9403
_cell_angle_alpha 90.00
_cell_angle_beta 90.00
_cell_angle_gamma 120.00
_symmetry_space_group_name_H-M 'R -3 m'
_symmetry_Int_Tables_number 166
_symmetry_space_group_name_Hall '-R 3 2"'
loop_
_atom_site_label
_atom_site_fract_x
_atom_site_fract_y
_atom_site_fract_z
Nd1 0.0000 0.5000 0.0000
Mn1 0.0000 0.0000 0.0000
Tl1 0.0000 0.0000 0.5000
Tl2 0.0000 0.5000 0.5000
Se1 0.0000 0.0000 0.2612
Se2 0.0222 0.5111 0.7347
# - Uncorrected formation energy: -104.9 kJ/mol of atoms
# - D(E_F): 13.73 states/eV/cell

---

# 4
# Nd2MnTl3Se6, relaxed, DFT PBE
data_Nd2MnTl3Se6
_cell_length_a 7.322
_cell_length_b 12.381
_cell_length_c 8.107
_cell_angle_alpha 90.00
_cell_angle_beta 108.50
_cell_angle_gamma 90.00
_symmetry_space_group_name_H-M 'C 1 2/m 1'
_symmetry_Int_Tables_number 12
loop_
_symmetry_equiv_pos_as_xyz
'x,y,z'
'-x,-y,-z'
'-x,y,-z'
'x,-y,z'
'x+1/2,y+1/2,z'
'-x+1/2,-y+1/2,-z'
'-x+1/2,y+1/2,-z'
'x+1/2,-y+1/2,z'
loop_
_atom_site_label
_atom_site_fract_x
_atom_site_fract_y
_atom_site_fract_z
Nd1 0.000 0.164 0.000
Mn1 0.000 0.500 0.000
Tl1 0.000 0.000 0.500
Tl2 0.000 0.326 0.500
Se1 0.213 0.352 0.193
Se2 0.247 0.500 0.774
# - Uncorrected formation energy: -97.1 kJ/mol of atoms
# - D(E_F): 4.69 states/eV/cell

---

# 5
# NdMnSi2, relaxed, DFT PBE
data_NdMnSi2
_cell_length_a 7.305
_cell_length_b 3.912
_cell_length_c 10.095
_cell_angle_alpha 90.00
_cell_angle_beta 90.00
_cell_angle_gamma 90.00
_symmetry_space_group_name_H-M 'P n m a'
_symmetry_Int_Tables_number 62
loop_
_symmetry_equiv_pos_as_xyz
'x,y,z'
'-x,-y,-z'
'-x+1/2,-y,z+1/2'
'x+1/2,y,-z+1/2'
'x+1/2,-y+1/2,-z+1/2'
'-x+1/2,y+1/2,z+1/2'
'-x,y+1/2,-z'
'x,-y+1/2,z'
loop_
_atom_site_label
_atom_site_fract_x
_atom_site_fract_y
_atom_site_fract_z
Nd1 0.137 0.250 0.130
Mn1 0.008 0.750 0.394
Si1 0.169 0.250 0.813
Si2 0.204 0.250 0.431
# - Uncorrected formation energy: -55.9 kJ/mol of atoms
# - D(E_F): 9.31 states/eV/cell

---

# 6
# NdMnSi2, relaxed, DFT PBE
data_NdMnSi2
_cell_length_a 4.057
_cell_length_b 17.544
_cell_length_c 4.011
_cell_angle_alpha 90.00
_cell_angle_beta 90.00
_cell_angle_gamma 90.00
_symmetry_space_group_name_H-M 'C m c m'
_symmetry_Int_Tables_number 63
_symmetry_space_group_name_Hall '-C 2c 2'
loop_
_atom_site_label
_atom_site_fract_x
_atom_site_fract_y
_atom_site_fract_z
Nd1 0.000 0.102 0.250
Mn1 0.000 0.250 0.750
Si1 0.000 0.322 0.250
Si2 0.000 0.464 0.250
# - Uncorrected formation energy: -58.9 kJ/mol of atoms
# - D(E_F): 5.86 states/eV/cell

---

Repeat the sixth record exactly.
# NdMnSi2, relaxed, DFT PBE
data_NdMnSi2
_cell_length_a 4.057
_cell_length_b 17.544
_cell_length_c 4.011
_cell_angle_alpha 90.00
_cell_angle_beta 90.00
_cell_angle_gamma 90.00
_symmetry_space_group_name_H-M 'C m c m'
_symmetry_Int_Tables_number 63
_symmetry_space_group_name_Hall '-C 2c 2'
loop_
_atom_site_label
_atom_site_fract_x
_atom_site_fract_y
_atom_site_fract_z
Nd1 0.000 0.102 0.250
Mn1 0.000 0.250 0.750
Si1 0.000 0.322 0.250
Si2 0.000 0.464 0.250
# - Uncorrected formation energy: -58.9 kJ/mol of atoms
# - D(E_F): 5.86 states/eV/cell